# AlMo3Pb | Alexandria via LeMat-Bulk | SCAN | single point on PBEsol structure
data_AlMo3Pb
_chemical_formula_sum 'Al1 Mo3 Pb1'
_symmetry_space_group_name_H-M 'P m -3 m'
_symmetry_Int_Tables_number 221
_symmetry_space_group_name_Hall '-P 4 2 3'
_cell_length_a 4.558
_cell_length_b 4.558
_cell_length_c 4.558
_cell_angle_alpha 90.00
_cell_angle_beta 90.00
_cell_angle_gamma 90.00
loop_
_atom_site_label
_atom_site_type_symbol
_atom_site_fract_x
_atom_site_fract_y
_atom_site_fract_z
Al1 Al 0.000 0.000 0.000
Mo1 Mo 0.000 0.000 0.500
Pb1 Pb 0.500 0.500 0.500
# DOS at the Fermi energy in states/eV/cell: 5.93
# Size of the total moment in μB/f.u.: 0.905
# Calculated formation energy in meV/atom: 1419.8
# ρ in g cm⁻³: 9.15